Below is a geometry-optimized NaNbHgGe2 structure, with properties calculated at the PBE level.

Computed properties:
N(E_F) ... 1.588 states/eV per atom
Energy relative to the elements ... 1.326 eV/atom
Calculated density ... 6.7 Mg/m³

The structure in CIF format:
```
data_NaNbHgGe2
_chemical_formula_sum 'Na1 Nb1 Hg1 Ge2'
_symmetry_space_group_name_H-M 'P 4/m m m'
_symmetry_Int_Tables_number 123
_symmetry_space_group_name_Hall '-P 4 2'
_cell_length_a 4.833
_cell_length_b 4.833
_cell_length_c 4.919
_cell_angle_alpha 90.00
_cell_angle_beta 90.00
_cell_angle_gamma 90.00
loop_
_atom_site_label
_atom_site_type_symbol
_atom_site_fract_x
_atom_site_fract_y
_atom_site_fract_z
Na1 Na 0.000 0.000 0.000
Nb1 Nb 0.500 0.500 0.500
Hg1 Hg 0.000 0.000 0.500
Ge1 Ge 0.000 0.500 0.000
```